Entry from the Alexandria database: an optimized crystal structure of Hf4FeBi (PBE).

Values from the calculation:
formation enthalpy at 0 K	-137	meV/atom
M_tot	0.001	μB per cell
ΔE to the lowest computed polymorph	0.0	kJ/mol of atoms
space group	C2/c (15)

Cell lengths 5.497, 8.081, 7.350 Å; angles 115.49, 101.45, 108.62 degrees
Positions (direct):
Hf 0.784 0.719 0.655
Hf 0.296 0.649 0.837
Hf 0.630 0.064 0.345
Hf 0.216 0.281 0.345
Hf 0.370 0.936 0.655
Hf 0.959 0.812 0.163
Hf 0.041 0.188 0.837
Hf 0.704 0.351 0.163
Bi 0.630 0.380 0.761
Bi 0.370 0.620 0.239
Fe 0.752 0.002 0.004
Fe 0.248 0.998 0.996

---

Entry from the Alexandria database: an optimized crystal structure of Ni5C3 (PBE).

Values from the calculation:
formation enthalpy at 0 K	549	meV/atom
M_tot	0.000	μB per cell
ΔE to the lowest computed polymorph	0.0	kJ/mol of atoms
space group	I4cm (108)

Cell lengths 5.870, 5.870, 5.872 Å; angles 100.43, 100.43, 129.70 degrees
Positions (direct):
C 0.654 0.844 0.500
C 0.843 0.343 0.189
C 0.343 0.154 0.500
C 0.154 0.654 0.811
C 0.250 0.250 0.000
C 0.750 0.750 0.000
Ni 0.292 0.436 0.728
Ni 0.435 0.708 0.144
Ni 0.565 0.293 0.856
Ni 0.708 0.565 0.272
Ni 0.936 0.793 0.728
Ni 0.064 0.208 0.272
Ni 0.208 0.936 0.144
Ni 0.250 0.750 0.500
Ni 0.792 0.065 0.856
Ni 0.749 0.250 0.500

---

Entry from the Alexandria database: an optimized crystal structure of Pm2Tm5Bi3C2 (PBE).

Values from the calculation:
formation enthalpy at 0 K	-644	meV/atom
M_tot	0.000	μB per cell
space group	I4/mmm (139)

Cell lengths 4.808, 4.808, 13.488 Å; angles 100.27, 100.27, 90.00 degrees
Positions (direct):
Tm 0.500 0.500 0.000
Tm 0.408 0.908 0.816
Tm 0.092 0.592 0.184
Tm 0.592 0.092 0.184
Tm 0.908 0.408 0.816
Bi 0.179 0.179 0.358
Bi 0.000 0.000 0.000
Bi 0.821 0.821 0.642
C 0.408 0.408 0.815
C 0.592 0.592 0.185
Pm 0.307 0.307 0.613
Pm 0.693 0.693 0.387